1.
Density functional theory data (SCAN) for a PBEsol-optimized structure of YMn2Cd.

a b c (Å): 4.427 5.615 5.615
angles (deg): 31.93 90.00 90.00
Element x y z (fractional)
Y 0.000 0.000 0.000
Mn 0.000 0.269 0.269
Mn 0.500 0.390 0.390
Cd 0.500 0.669 0.669

Calculated values
**Space-group type**: No. 38
**Uncorrected energy**: -94.7 eV per cell
**Magnetization**: 6.9 μB per formula unit
**ΔE to the lowest computed polymorph**: 0.0 meV/atom



2.
Density functional theory data (SCAN) for a PBEsol-optimized structure of LiCaCr2O.

a b c (Å): 4.036 4.036 4.513
angles (deg): 90.00 90.00 90.00
Element x y z (fractional)
Li 0.000 0.000 0.000
Ca 0.500 0.500 0.000
Cr 0.000 0.500 0.500
Cr 0.500 0.000 0.500
O 0.000 0.000 0.500

Calculated values
**Raw formation energy**: -0.389 eV/atom
**Space-group type**: No. 123
**Uncorrected energy**: -57.0 eV per cell
**Magnetization**: 7.1 μB per formula unit



3.
Density functional theory data (SCAN) for a PBEsol-optimized structure of YZrAl2.

a b c (Å): 4.881 4.881 4.881
angles (deg): 60.00 60.00 60.00
Element x y z (fractional)
Y 0.000 0.000 0.000
Zr 0.500 0.500 0.500
Al 0.250 0.250 0.250
Al 0.750 0.750 0.750

Calculated values
**Space-group type**: No. 225
**Uncorrected energy**: -75.4 eV per cell
**Magnetization**: 0.9 μB per formula unit
**ΔE to the lowest computed polymorph**: 89.8 meV/atom



4.
Density functional theory data (SCAN) for a PBEsol-optimized structure of HfBeGe2S.

a b c (Å): 4.955 4.955 3.670
angles (deg): 90.00 90.00 90.00
Element x y z (fractional)
Hf 0.000 0.000 0.000
Be 0.500 0.500 0.000
Ge 0.000 0.500 0.500
Ge 0.500 0.000 0.500
S 0.500 0.500 0.500

Calculated values
**Raw formation energy**: 0.476 eV/atom
**Space-group type**: No. 123
**Uncorrected energy**: -112.4 eV per cell
**Magnetization**: 0.0 μB per formula unit



5.
Density functional theory data (SCAN) for a PBEsol-optimized structure of SrY2P.

a b c (Å): 6.290 6.290 3.524
angles (deg): 105.19 105.19 117.14
Element x y z (fractional)
Sr 0.000 0.000 0.000
Y 0.000 0.500 0.500
Y 0.500 0.000 0.500
P 0.500 0.500 0.000

Calculated values
**Space-group type**: No. 12
**Uncorrected energy**: -88.6 eV per cell
**Magnetization**: 0.0 μB per formula unit



6.
Density functional theory data (SCAN) for a PBEsol-optimized structure of MnSb.

a b c (Å): 3.863 3.863 3.863
angles (deg): 60.00 60.00 60.00
Element x y z (fractional)
Mn 0.000 0.000 0.000
Sb 0.500 0.500 0.500

Calculated values
**Raw formation energy**: -0.187 eV/atom
**Space-group type**: No. 225
**Uncorrected energy**: -55.9 eV per cell
**Magnetization**: 4.0 μB per formula unit



7.
Density functional theory data (SCAN) for a PBEsol-optimized structure of Cu2SiPt.

a b c (Å): 4.520 4.520 4.520
angles (deg): 132.90 131.23 70.14
Element x y z (fractional)
Cu 0.000 0.000 0.000
Cu 0.739 0.239 0.500
Si 0.239 0.739 0.500
Pt 0.482 0.482 0.000

Calculated values
**Raw formation energy**: -0.327 eV/atom
**Space-group type**: No. 44
**Uncorrected energy**: -111.9 eV per cell
**Magnetization**: 0.0 μB per formula unit



8.
Density functional theory data (SCAN) for a PBEsol-optimized structure of AsRuBr.

a b c (Å): 3.718 3.718 5.497
angles (deg): 90.00 90.00 120.00
Element x y z (fractional)
As 0.000 0.000 0.000
Ru 0.667 0.333 0.161
Br 0.333 0.667 0.464

Calculated values
**Raw formation energy**: -0.145 eV/atom
**Space-group type**: No. 156
**Uncorrected energy**: -74.9 eV per cell
**Magnetization**: 0.0 μB per formula unit



9.
Density functional theory data (SCAN) for a PBEsol-optimized structure of YAl2P.

a b c (Å): 3.447 3.447 6.147
angles (deg): 90.00 90.00 90.00
Element x y z (fractional)
Y 0.000 0.000 0.000
Al 0.000 0.000 0.525
Al 0.500 0.500 0.308
P 0.500 0.500 0.714

Calculated values
**Space-group type**: No. 99
**Uncorrected energy**: -55.6 eV per cell
**Magnetization**: 0.4 μB per formula unit



10.
Density functional theory data (SCAN) for a PBEsol-optimized structure of BaIn2Ni.

a b c (Å): 5.163 5.163 5.163
angles (deg): 60.00 60.00 60.00
Element x y z (fractional)
Ba 0.000 0.000 0.000
In 0.500 0.500 0.500
In 0.750 0.750 0.750
Ni 0.250 0.250 0.250

Calculated values
**Space-group type**: No. 216
**Uncorrected energy**: -122.0 eV per cell
**Magnetization**: 0.0 μB per formula unit



Computed volume (Å³/cell) in order:
73.8; 73.5; 82.2; 90.1; 107.3; 40.8; 49.9; 65.8; 73.0; 97.3